1:
DFT (GGA-PBE) results for a relaxed structure of Cu2Ag.

Symmetry: No. 164

Unit cell a=2.7288 b=2.7288 c=13.0426 alpha=90.00 beta=90.00 gamma=120.00
Closest atoms and distances in Å follow each position.
Positions (direct):
1 Cu 0.0000 0.0000 0.0000  6 Cu 2.73, 6 Ag 2.75
2 Cu 0.0000 0.0000 0.5000  12 Cu 2.54-2.73
3 Cu 0.3333 0.6667 0.3474  9 Cu 2.54-2.73, 3 Ag 2.77
4 Cu 0.6667 0.3333 0.6526  9 Cu 2.54-2.73, 3 Ag 2.77
5 Ag 0.3333 0.6667 0.8271  6 Ag 2.73, 6 Cu 2.75-2.77
6 Ag 0.6667 0.3333 0.1729  6 Ag 2.73, 6 Cu 2.75-2.77

2:
DFT (GGA-PBE) results for a relaxed structure of Cu2Ag.

Symmetry: No. 164

Unit cell a=2.7303 b=2.7303 c=13.0739 alpha=90.00 beta=90.00 gamma=120.00
Closest atoms and distances in Å follow each position.
Positions (direct):
1 Cu 0.0000 0.0000 0.2283  9 Cu 2.53-2.73, 3 Ag 2.77
2 Cu 0.0000 0.0000 0.7717  9 Cu 2.53-2.73, 3 Ag 2.77
3 Cu 0.3333 0.6667 0.0764  12 Cu 2.53-2.73
4 Cu 0.6667 0.3333 0.9236  12 Cu 2.53-2.73
5 Ag 0.3333 0.6667 0.5979  9 Ag 2.73-3.01, 3 Cu 2.77
6 Ag 0.6667 0.3333 0.4021  9 Ag 2.73-3.01, 3 Cu 2.77

Energy relative to the most stable one, in kJ/mol of atoms: 1 1.5; 2 0.0

1:
DFT (GGA-PBE) results for a relaxed structure of NdMg.

Symmetry: No. 186

Unit cell a=5.0439 b=5.0439 c=8.2707 alpha=90.00 beta=90.00 gamma=120.00
Closest atoms and distances in Å follow each position.
Positions (direct):
1 Nd 0.3333 0.6667 0.0000  4 Mg 3.09-3.10
2 Nd 0.6667 0.3333 0.5000  4 Mg 3.09-3.10
3 Mg 0.3333 0.6667 0.6248  4 Nd 3.09-3.10
4 Mg 0.6667 0.3333 0.1248  4 Nd 3.09-3.10

2:
DFT (GGA-PBE) results for a relaxed structure of NdMg.

Symmetry: No. 57

Unit cell a=6.8982 b=6.1323 c=5.5696 alpha=90.00 beta=90.00 gamma=90.00
Closest atoms and distances in Å follow each position.
Positions (direct):
1 Nd 0.1433 0.0772 0.2500  6 Mg 3.34-3.56, 6 Nd 3.50-3.65
2 Nd 0.1433 0.4228 0.7500  6 Mg 3.34-3.56, 6 Nd 3.50-3.65
3 Nd 0.8567 0.5772 0.2500  6 Mg 3.34-3.56, 6 Nd 3.50-3.65
4 Nd 0.8567 0.9228 0.7500  6 Mg 3.34-3.56, 6 Nd 3.50-3.65
5 Mg 0.3721 0.5939 0.2500  6 Nd 3.34-3.56, 6 Mg 3.38-3.54
6 Mg 0.3721 0.9061 0.7500  6 Nd 3.34-3.56, 6 Mg 3.38-3.54
7 Mg 0.6279 0.0939 0.2500  6 Nd 3.34-3.56, 6 Mg 3.38-3.54
8 Mg 0.6279 0.4061 0.7500  6 Nd 3.34-3.56, 6 Mg 3.38-3.54

Energy relative to the most stable one, in kJ/mol of atoms: 1 110.4; 2 0.0

1:
DFT (GGA-PBE) results for a relaxed structure of RePd2.

Symmetry: No. 227

Unit cell a=7.7870 b=7.7870 c=7.7870 alpha=60.00 beta=60.00 gamma=60.00
Closest atoms and distances in Å follow each position.
Positions (direct):
1 Re 0.1250 0.1250 0.1250  4 Pd 2.38
2 Re 0.8750 0.8750 0.8750  4 Pd 2.38
3 Pd 0.0000 0.0000 0.0000  2 Re 2.38
4 Pd 0.0000 0.0000 0.5000  2 Re 2.38
5 Pd 0.0000 0.5000 0.0000  2 Re 2.38
6 Pd 0.5000 0.0000 0.0000  2 Re 2.38

2:
DFT (GGA-PBE) results for a relaxed structure of RePd2.

Symmetry: No. 227

Unit cell a=5.0573 b=5.0573 c=5.0573 alpha=60.00 beta=60.00 gamma=60.00
Closest atoms and distances in Å follow each position.
Positions (direct):
1 Re 0.1250 0.1250 0.1250  12 Pd 2.97, 4 Re 3.10
2 Re 0.8750 0.8750 0.8750  12 Pd 2.97, 4 Re 3.10
3 Pd 0.0000 0.5000 0.5000  6 Pd 2.53
4 Pd 0.5000 0.0000 0.5000  6 Pd 2.53
5 Pd 0.5000 0.5000 0.0000  6 Pd 2.53
6 Pd 0.5000 0.5000 0.5000  6 Pd 2.53

Energy relative to the most stable one, in kJ/mol of atoms: 1 188.2; 2 0.0

1:
DFT (GGA-PBE) results for a relaxed structure of GaCu15.

Symmetry: No. 49

Unit cell a=7.1925 b=42.3411 c=3.6170 alpha=90.00 beta=90.00 gamma=90.00
Closest atoms and distances in Å follow each position.
Positions (direct):
1 Ga 0.1391 0.1751 0.0000  6 Cu 2.50-2.75, 2 Ga 2.70
2 Ga 0.1391 0.8249 0.5000  6 Cu 2.50-2.75, 2 Ga 2.70
3 Ga 0.8609 0.1751 0.5000  6 Cu 2.50-2.75, 2 Ga 2.70
4 Ga 0.8609 0.8249 0.0000  6 Cu 2.50-2.75, 2 Ga 2.70
5 Cu 0.1247 0.2222 0.5000  9 Cu 2.54-2.62, 3 Ga 2.69-2.75
6 Cu 0.1247 0.3070 0.5000  12 Cu 2.55-2.56
7 Cu 0.1250 0.3499 0.0000  12 Cu 2.55-2.56
8 Cu 0.1250 0.3928 0.5000  12 Cu 2.55-2.56
9 Cu 0.1251 0.4356 0.0000  12 Cu 2.55-2.56
10 Cu 0.1249 0.4785 0.5000  12 Cu 2.55-2.56
11 Cu 0.1249 0.5215 0.0000  12 Cu 2.55-2.56
12 Cu 0.1251 0.5644 0.5000  12 Cu 2.55-2.56
13 Cu 0.1250 0.6072 0.0000  12 Cu 2.55-2.56
14 Cu 0.1250 0.6501 0.5000  12 Cu 2.55-2.56
15 Cu 0.1247 0.6930 0.0000  12 Cu 2.55-2.56
16 Cu 0.1247 0.7778 0.0000  9 Cu 2.54-2.62, 3 Ga 2.69-2.75
17 Cu 0.1267 0.2645 0.0000  12 Cu 2.54-2.57
18 Cu 0.1267 0.7355 0.5000  12 Cu 2.54-2.57
19 Cu 0.3752 0.3071 0.0000  12 Cu 2.54-2.56
20 Cu 0.3745 0.3498 0.5000  12 Cu 2.55-2.56
21 Cu 0.3753 0.3927 0.0000  12 Cu 2.55-2.57
22 Cu 0.3750 0.4357 0.5000  12 Cu 2.55-2.57
23 Cu 0.3749 0.4786 0.0000  12 Cu 2.55-2.56
24 Cu 0.3749 0.5214 0.5000  12 Cu 2.55-2.56
25 Cu 0.3750 0.5643 0.0000  12 Cu 2.55-2.57
26 Cu 0.3753 0.6073 0.5000  12 Cu 2.55-2.57
27 Cu 0.3745 0.6502 0.0000  12 Cu 2.55-2.56
28 Cu 0.3752 0.6929 0.5000  12 Cu 2.54-2.56
29 Cu 0.3757 0.2643 0.5000  12 Cu 2.54-2.57
30 Cu 0.3757 0.7357 0.0000  12 Cu 2.54-2.57
31 Cu 0.3766 0.2212 0.0000  11 Cu 2.53-2.57, 1 Ga 2.59
32 Cu 0.3766 0.7788 0.5000  11 Cu 2.53-2.57, 1 Ga 2.59
33 Cu 0.3790 0.1780 0.5000  2 Ga 2.50, 6 Cu 2.51-2.62
34 Cu 0.3790 0.8220 0.0000  2 Ga 2.50, 6 Cu 2.51-2.62
35 Cu 0.6210 0.1780 0.0000  2 Ga 2.50, 6 Cu 2.51-2.62
36 Cu 0.6210 0.8220 0.5000  2 Ga 2.50, 6 Cu 2.51-2.62
37 Cu 0.6234 0.2212 0.5000  11 Cu 2.53-2.57, 1 Ga 2.59
38 Cu 0.6234 0.7788 0.0000  11 Cu 2.53-2.57, 1 Ga 2.59
39 Cu 0.6243 0.2643 0.0000  12 Cu 2.54-2.57
40 Cu 0.6243 0.7357 0.5000  12 Cu 2.54-2.57
41 Cu 0.6248 0.3071 0.5000  12 Cu 2.54-2.56
42 Cu 0.6255 0.3498 0.0000  12 Cu 2.55-2.56
43 Cu 0.6247 0.3927 0.5000  12 Cu 2.55-2.57
44 Cu 0.6250 0.4357 0.0000  12 Cu 2.55-2.57
45 Cu 0.6251 0.4786 0.5000  12 Cu 2.55-2.56
46 Cu 0.6251 0.5214 0.0000  12 Cu 2.55-2.56
47 Cu 0.6250 0.5643 0.5000  12 Cu 2.55-2.57
48 Cu 0.6247 0.6073 0.0000  12 Cu 2.55-2.57
49 Cu 0.6255 0.6502 0.5000  12 Cu 2.55-2.56
50 Cu 0.6248 0.6929 0.0000  12 Cu 2.54-2.56
51 Cu 0.8733 0.2645 0.5000  12 Cu 2.54-2.57
52 Cu 0.8733 0.7355 0.0000  12 Cu 2.54-2.57
53 Cu 0.8753 0.2222 0.0000  9 Cu 2.54-2.62, 3 Ga 2.69-2.75
54 Cu 0.8753 0.3070 0.0000  12 Cu 2.55-2.56
55 Cu 0.8750 0.3499 0.5000  12 Cu 2.55-2.56
56 Cu 0.8750 0.3928 0.0000  12 Cu 2.55-2.56
57 Cu 0.8749 0.4356 0.5000  12 Cu 2.55-2.56
58 Cu 0.8751 0.4785 0.0000  12 Cu 2.55-2.56
59 Cu 0.8751 0.5215 0.5000  12 Cu 2.55-2.56
60 Cu 0.8749 0.5644 0.0000  12 Cu 2.55-2.56
61 Cu 0.8750 0.6072 0.5000  12 Cu 2.55-2.56
62 Cu 0.8750 0.6501 0.0000  12 Cu 2.55-2.56
63 Cu 0.8753 0.6930 0.5000  12 Cu 2.55-2.56
64 Cu 0.8753 0.7778 0.5000  9 Cu 2.54-2.62, 3 Ga 2.69-2.75

2:
DFT (GGA-PBE) results for a relaxed structure of GaCu15.

Symmetry: No. 13

Unit cell a=4.4188 b=34.1878 c=4.4203 alpha=90.00 beta=109.45 gamma=90.00
Closest atoms and distances in Å follow each position.
Positions (direct):
1 Ga 0.0000 0.2181 0.2500  7 Cu 2.55-2.66
2 Ga 0.0000 0.7819 0.7500  7 Cu 2.55-2.66
3 Cu 0.0000 0.2556 0.7500  9 Cu 2.52-2.60, 2 Ga 2.56
4 Cu 0.0000 0.2957 0.2500  11 Cu 2.53-2.60, 1 Ga 2.66
5 Cu 0.0000 0.3316 0.7500  12 Cu 2.53-2.60
6 Cu 0.0000 0.3698 0.2500  12 Cu 2.53-2.57
7 Cu 0.0000 0.4065 0.7500  12 Cu 2.54-2.56
8 Cu 0.0000 0.4441 0.2500  12 Cu 2.54-2.56
9 Cu 0.0000 0.4813 0.7500  12 Cu 2.55-2.56
10 Cu 0.0000 0.5187 0.2500  12 Cu 2.55-2.56
11 Cu 0.0000 0.5559 0.7500  12 Cu 2.54-2.56
12 Cu 0.0000 0.5935 0.2500  12 Cu 2.54-2.56
13 Cu 0.0000 0.6302 0.7500  12 Cu 2.53-2.57
14 Cu 0.0000 0.6684 0.2500  12 Cu 2.53-2.60
15 Cu 0.0000 0.7043 0.7500  11 Cu 2.53-2.60, 1 Ga 2.66
16 Cu 0.0000 0.7444 0.2500  9 Cu 2.52-2.60, 2 Ga 2.56
17 Cu 0.5000 0.2201 0.7500  5 Cu 2.52-2.54, 2 Ga 2.55
18 Cu 0.5000 0.2555 0.2500  9 Cu 2.52-2.60, 2 Ga 2.55
19 Cu 0.5000 0.2943 0.7500  12 Cu 2.54-2.58
20 Cu 0.5000 0.3315 0.2500  12 Cu 2.53-2.60
21 Cu 0.5000 0.3692 0.7500  12 Cu 2.55-2.56
22 Cu 0.5000 0.4064 0.2500  12 Cu 2.54-2.56
23 Cu 0.5000 0.4440 0.7500  12 Cu 2.55-2.56
24 Cu 0.5000 0.4812 0.2500  12 Cu 2.55-2.56
25 Cu 0.5000 0.5188 0.7500  12 Cu 2.55-2.56
26 Cu 0.5000 0.5560 0.2500  12 Cu 2.55-2.56
27 Cu 0.5000 0.5936 0.7500  12 Cu 2.54-2.56
28 Cu 0.5000 0.6308 0.2500  12 Cu 2.55-2.56
29 Cu 0.5000 0.6685 0.7500  12 Cu 2.53-2.60
30 Cu 0.5000 0.7057 0.2500  12 Cu 2.54-2.58
31 Cu 0.5000 0.7445 0.7500  9 Cu 2.52-2.60, 2 Ga 2.55
32 Cu 0.5000 0.7799 0.2500  5 Cu 2.52-2.54, 2 Ga 2.55

Energy relative to the most stable one, in kJ/mol of atoms: 1 0.0; 2 2.3

1:
DFT (GGA-PBE) results for a relaxed structure of NaGdFeSe3.

Symmetry: No. 12

Unit cell a=9.1333 b=9.1333 c=8.2444 alpha=104.32 beta=104.32 gamma=25.92
Closest atoms and distances in Å follow each position.
Positions (direct):
1 Na 0.1334 0.1334 0.0732  6 Se 3.01-3.08
2 Na 0.8666 0.8666 0.9268  6 Se 3.01-3.08
3 Gd 0.1722 0.1722 0.5949  6 Se 2.84-2.96
4 Gd 0.8278 0.8278 0.4051  6 Se 2.84-2.96
5 Fe 0.4806 0.4806 0.2804  4 Se 2.42-2.70
6 Fe 0.5194 0.5194 0.7196  4 Se 2.42-2.70
7 Se 0.0000 0.0000 0.5000  4 Fe 2.70, 2 Gd 2.96
8 Se 0.3352 0.3352 0.1714  1 Fe 2.51
9 Se 0.3371 0.3371 0.6510  3 Gd 2.85-2.86, 2 Na 3.01, 1 Fe 3.15
10 Se 0.5000 0.5000 0.0000  2 Fe 2.42
11 Se 0.6629 0.6629 0.3490  3 Gd 2.85-2.86, 2 Na 3.01, 1 Fe 3.15
12 Se 0.6648 0.6648 0.8286  1 Fe 2.51

2:
DFT (GGA-PBE) results for a relaxed structure of NaGdFeSe3.

Symmetry: No. 62

Unit cell a=11.2439 b=4.1632 c=12.0245 alpha=90.00 beta=90.00 gamma=90.00
Closest atoms and distances in Å follow each position.
Positions (direct):
1 Na 0.1751 0.2500 0.0016  7 Se 3.06-3.29, 2 Fe 3.41
2 Na 0.3249 0.7500 0.5016  7 Se 3.06-3.29, 2 Fe 3.41
3 Na 0.6751 0.2500 0.4984  7 Se 3.06-3.29, 2 Fe 3.41
4 Na 0.8249 0.7500 0.9984  7 Se 3.06-3.29, 2 Fe 3.41
5 Gd 0.0184 0.2500 0.3165  7 Se 2.91-3.11
6 Gd 0.4816 0.7500 0.8165  7 Se 2.91-3.11
7 Gd 0.5184 0.2500 0.1835  7 Se 2.91-3.11
8 Gd 0.9816 0.7500 0.6835  7 Se 2.91-3.11
9 Fe 0.2477 0.2500 0.7139  4 Se 2.39-2.44
10 Fe 0.2523 0.7500 0.2139  4 Se 2.39-2.44
11 Fe 0.7477 0.2500 0.7861  4 Se 2.39-2.44
12 Fe 0.7523 0.7500 0.2861  4 Se 2.39-2.44
13 Se 0.0516 0.7500 0.1479  1 Fe 2.39
14 Se 0.1075 0.2500 0.5617  1 Fe 2.42
15 Se 0.2157 0.7500 0.8161  2 Fe 2.44
16 Se 0.2843 0.2500 0.3161  2 Fe 2.44
17 Se 0.3925 0.7500 0.0617  1 Fe 2.42
18 Se 0.4484 0.2500 0.6479  1 Fe 2.39
19 Se 0.5516 0.7500 0.3521  1 Fe 2.39
20 Se 0.6075 0.2500 0.9383  1 Fe 2.42
21 Se 0.7157 0.7500 0.6839  2 Fe 2.44
22 Se 0.7843 0.2500 0.1839  2 Fe 2.44
23 Se 0.8925 0.7500 0.4383  1 Fe 2.42
24 Se 0.9484 0.2500 0.8521  1 Fe 2.39

Energy relative to the most stable one, in kJ/mol of atoms: 1 8.2; 2 0.0

1:
DFT (GGA-PBE) results for a relaxed structure of GdScNO.

Symmetry: No. 123

Unit cell a=3.3811 b=3.3811 c=4.6256 alpha=90.00 beta=90.00 gamma=90.00
Closest atoms and distances in Å follow each position.
Positions (direct):
1 Gd 0.0000 0.0000 0.0000  2 O 2.31, 4 N 2.39
2 Sc 0.5000 0.5000 0.5000  2 N 2.31, 4 O 2.39
3 N 0.5000 0.5000 0.0000  2 Sc 2.31, 4 Gd 2.39
4 O 0.0000 0.0000 0.5000  2 Gd 2.31, 4 Sc 2.39

2:
DFT (GGA-PBE) results for a relaxed structure of GdScNO.

Symmetry: No. 51

Unit cell a=4.6988 b=3.8557 c=6.6753 alpha=90.00 beta=90.00 gamma=90.00
Closest atoms and distances in Å follow each position.
Positions (direct):
1 Gd 0.2500 0.0000 0.1678  2 N 2.28, 3 O 2.36-2.44
2 Gd 0.7500 0.0000 0.8322  2 N 2.28, 3 O 2.36-2.44
3 Sc 0.2500 0.5000 0.6610  1 N 2.07, 2 O 2.15
4 Sc 0.7500 0.5000 0.3390  1 N 2.07, 2 O 2.15
5 N 0.2500 0.5000 0.3510  1 Sc 2.07, 2 Gd 2.28
6 N 0.7500 0.5000 0.6490  1 Sc 2.07, 2 Gd 2.28
7 O 0.2500 0.0000 0.8028  2 Sc 2.15, 2 Gd 2.36
8 O 0.7500 0.0000 0.1972  2 Sc 2.15, 2 Gd 2.36

Energy relative to the most stable one, in kJ/mol of atoms: 1 0.0; 2 1.1

1:
DFT (GGA-PBE) results for a relaxed structure of Fe.

Symmetry: No. 166

Unit cell a=2.4203 b=2.4203 c=2.4203 alpha=65.82 beta=65.82 gamma=65.82
Closest atoms and distances in Å follow each position.
Positions (direct):
1 Fe 0.0000 0.0000 0.0000  12 Fe 2.42-2.63

2:
DFT (GGA-PBE) results for a relaxed structure of Fe.

Symmetry: No. 11

Unit cell a=3.6620 b=4.2256 c=3.6740 alpha=90.00 beta=119.67 gamma=90.00
Closest atoms and distances in Å follow each position.
Positions (direct):
1 Fe 0.0000 0.2500 0.0015  5 Fe 2.11-2.12
2 Fe 0.0000 0.7500 0.9985  5 Fe 2.11-2.12
3 Fe 0.3333 0.2500 0.6655  3 Fe 2.12
4 Fe 0.6667 0.7500 0.3345  3 Fe 2.12

Energy relative to the most stable one, in kJ/mol of atoms: 1 0.0; 2 85.3

1:
DFT (GGA-PBE) results for a relaxed structure of ThZrCd.

Symmetry: No. 216

Unit cell a=5.0898 b=5.0898 c=5.0898 alpha=60.00 beta=60.00 gamma=60.00
Closest atoms and distances in Å follow each position.
Positions (direct):
1 Th 0.0000 0.0000 0.0000  4 Cd 3.12, 4 Zr 3.12
2 Zr 0.2500 0.2500 0.2500  4 Th 3.12
3 Cd 0.7500 0.7500 0.7500  4 Th 3.12

2:
DFT (GGA-PBE) results for a relaxed structure of ThZrCd.

Symmetry: No. 216

Unit cell a=4.9983 b=4.9983 c=4.9983 alpha=60.00 beta=60.00 gamma=60.00
Closest atoms and distances in Å follow each position.
Positions (direct):
1 Th 0.0000 0.0000 0.0000  4 Zr 3.06
2 Zr 0.7500 0.7500 0.7500  4 Cd 3.06, 4 Th 3.06
3 Cd 0.5000 0.5000 0.5000  4 Zr 3.06

Energy relative to the most stable one, in kJ/mol of atoms: 1 24.5; 2 0.0